[1]
# NaDy2Br6 | Alexandria | PBE | relaxed
data_NaDy2Br6
_chemical_formula_sum 'Na1 Dy2 Br6'
_space_group_name_H-M_alt 'P -3 1 m'
_space_group_IT_number 162
_space_group_name_Hall '-P 3 2'
_cell_length_a 7.0505
_cell_length_b 7.0505
_cell_length_c 7.0070
_cell_angle_alpha 90.00
_cell_angle_beta 90.00
_cell_angle_gamma 120.00
loop_
_atom_site_label
_atom_site_type_symbol
_atom_site_fract_x
_atom_site_fract_y
_atom_site_fract_z
_atom_site_occupancy
Na1 Na 0.0000 0.0000 0.0000 1
Dy1 Dy 0.3333 0.6667 0.5000 1
Br1 Br 0.0000 0.3462 0.7384 1
# E_form (uncorrected) = -1.674 eV per atom

=====

[2]
# AcTmSb2 | Alexandria | PBE | relaxed
data_AcTmSb2
_chemical_formula_sum 'Ac4 Tm4 Sb8'
_space_group_name_H-M_alt 'F m -3 m'
_space_group_IT_number 225
_space_group_name_Hall '-F 4 2 3'
_cell_length_a 7.870
_cell_length_b 7.870
_cell_length_c 7.870
_cell_angle_alpha 90.00
_cell_angle_beta 90.00
_cell_angle_gamma 90.00
loop_
_atom_site_label
_atom_site_type_symbol
_atom_site_fract_x
_atom_site_fract_y
_atom_site_fract_z
_atom_site_occupancy
Ac1 Ac 0.000 0.000 0.000 1
Tm1 Tm 0.000 0.000 0.500 1
Sb1 Sb 0.250 0.250 0.250 1
# Excess energy over the best structure of this formula in the dataset = 313 meV per atom
# E_form (uncorrected) = -0.805 eV per atom

=====

[3]
# CsKGe12 | Alexandria | PBE | relaxed
data_CsKGe12
_chemical_formula_sum 'Cs1 K1 Ge12'
_space_group_name_H-M_alt 'P 4/m m m'
_space_group_IT_number 123
_space_group_name_Hall '-P 4 2'
_cell_length_a 6.628
_cell_length_b 6.628
_cell_length_c 12.056
_cell_angle_alpha 90.00
_cell_angle_beta 90.00
_cell_angle_gamma 90.00
loop_
_atom_site_label
_atom_site_type_symbol
_atom_site_fract_x
_atom_site_fract_y
_atom_site_fract_z
_atom_site_occupancy
Cs1 Cs 0.000 0.000 0.000 1
K1 K 0.000 0.000 0.500 1
Ge1 Ge 0.192 0.500 0.252 1
Ge2 Ge 0.500 0.500 0.108 1
Ge3 Ge 0.500 0.500 0.394 1
# Formation energy from the elements = 327 meV/atom

=====

[4]
# SiP2S2 | Alexandria | PBE | relaxed
data_SiP2S2
_chemical_formula_sum 'Si1 P2 S2'
_space_group_name_H-M_alt 'P 4/m m m'
_space_group_IT_number 123
_space_group_name_Hall '-P 4 2'
_cell_length_a 4.418
_cell_length_b 4.418
_cell_length_c 4.568
_cell_angle_alpha 90.00
_cell_angle_beta 90.00
_cell_angle_gamma 90.00
loop_
_atom_site_label
_atom_site_type_symbol
_atom_site_fract_x
_atom_site_fract_y
_atom_site_fract_z
_atom_site_occupancy
Si1 Si 0.000 0.000 0.000 1
P1 P 0.000 0.000 0.500 1
P2 P 0.500 0.500 0.500 1
S1 S 0.000 0.500 0.000 1
# Excess energy over the best structure of this formula in the dataset = 23 meV per atom
# E_form (uncorrected) = 0.775 eV per atom

=====

[5]
# Ti5Co6Pd | Alexandria | PBE | relaxed
data_Ti5Co6Pd
_chemical_formula_sum 'Ti10 Co12 Pd2'
_space_group_name_H-M_alt 'C m m m'
_space_group_IT_number 65
_space_group_name_Hall '-C 2 2'
_cell_length_a 4.137
_cell_length_b 12.449
_cell_length_c 6.044
_cell_angle_alpha 90.00
_cell_angle_beta 90.00
_cell_angle_gamma 90.00
loop_
_atom_site_label
_atom_site_type_symbol
_atom_site_fract_x
_atom_site_fract_y
_atom_site_fract_z
_atom_site_occupancy
Ti1 Ti 0.000 0.000 0.000 1
Ti2 Ti 0.000 0.333 0.000 1
Ti3 Ti 0.000 0.345 0.500 1
Co1 Co 0.000 0.175 0.247 1
Co2 Co 0.000 0.500 0.221 1
Pd1 Pd 0.000 0.000 0.500 1
# Formation energy from the elements = -379 meV/atom

=====

[6]
# Ac8Ir3Au3S | Alexandria | PBE | relaxed
data_Ac8Ir3Au3S
_chemical_formula_sum 'Ac24 Ir9 Au9 S3'
_space_group_name_H-M_alt 'R -3 m'
_space_group_IT_number 166
_space_group_name_Hall '-R 3 2"'
_cell_length_a 8.8550
_cell_length_b 8.8550
_cell_length_c 21.8236
_cell_angle_alpha 90.00
_cell_angle_beta 90.00
_cell_angle_gamma 120.00
loop_
_atom_site_label
_atom_site_type_symbol
_atom_site_fract_x
_atom_site_fract_y
_atom_site_fract_z
_atom_site_occupancy
Ac1 Ac 0.0000 0.0000 0.2415 1
Ac2 Ac 0.0114 0.5057 0.7572 1
Ir1 Ir 0.0000 0.5000 0.5000 1
Au1 Au 0.0000 0.5000 0.0000 1
S1 S 0.0000 0.0000 0.5000 1
# E_form (uncorrected) = -0.872 eV per atom

=====

[7]
# KTeBr | Alexandria | PBE | relaxed
data_KTeBr
_chemical_formula_sum 'K2 Te2 Br2'
_space_group_name_H-M_alt 'P 1'
_space_group_IT_number 1
_space_group_name_Hall 'P 1'
_cell_length_a 5.073
_cell_length_b 5.890
_cell_length_c 9.142
_cell_angle_alpha 104.74
_cell_angle_beta 100.94
_cell_angle_gamma 104.93
loop_
_atom_site_label
_atom_site_type_symbol
_atom_site_fract_x
_atom_site_fract_y
_atom_site_fract_z
_atom_site_occupancy
K1 K 0.000 0.000 0.000 1
K2 K 0.276 0.283 0.562 1
Te1 Te 0.594 0.000 0.280 1
Te2 Te 0.742 0.572 0.280 1
Br1 Br 0.603 0.376 0.944 1
Br2 Br 0.933 0.714 0.616 1
# Excess energy over the best structure of this formula in the dataset = 0 meV per atom
# E_form (uncorrected) = -0.937 eV per atom

=====

[8]
# TbPm2Br2N2 | Alexandria | PBE | relaxed
data_TbPm2Br2N2
_chemical_formula_sum 'Tb2 Pm4 Br4 N4'
_space_group_name_H-M_alt 'I 4/m m m'
_space_group_IT_number 139
_space_group_name_Hall '-I 4 2'
_cell_length_a 4.501
_cell_length_b 4.501
_cell_length_c 16.519
_cell_angle_alpha 90.00
_cell_angle_beta 90.00
_cell_angle_gamma 90.00
loop_
_atom_site_label
_atom_site_type_symbol
_atom_site_fract_x
_atom_site_fract_y
_atom_site_fract_z
_atom_site_occupancy
Tb1 Tb 0.000 0.000 0.000 1
Pm1 Pm 0.000 0.000 0.411 1
Br1 Br 0.000 0.000 0.178 1
N1 N 0.000 0.500 0.000 1
# E_form (uncorrected) = -1.319 eV per atom

=====

[9]
# CoTcAs2 | Alexandria | PBE | relaxed
data_CoTcAs2
_chemical_formula_sum 'Co1 Tc1 As2'
_space_group_name_H-M_alt 'P 4/m m m'
_space_group_IT_number 123
_space_group_name_Hall '-P 4 2'
_cell_length_a 3.077
_cell_length_b 3.077
_cell_length_c 5.944
_cell_angle_alpha 90.00
_cell_angle_beta 90.00
_cell_angle_gamma 90.00
loop_
_atom_site_label
_atom_site_type_symbol
_atom_site_fract_x
_atom_site_fract_y
_atom_site_fract_z
_atom_site_occupancy
Co1 Co 0.000 0.000 0.000 1
Tc1 Tc 0.000 0.000 0.500 1
As1 As 0.500 0.500 0.247 1
# Excess energy over the best structure of this formula in the dataset = 91 meV per atom
# Formation energy from the elements = 15 meV/atom

=====

[10]
# Li3HfW | Alexandria | PBE | relaxed
data_Li3HfW
_chemical_formula_sum 'Li3 Hf1 W1'
_space_group_name_H-M_alt 'P m -3 m'
_space_group_IT_number 221
_space_group_name_Hall '-P 4 2 3'
_cell_length_a 4.570
_cell_length_b 4.570
_cell_length_c 4.570
_cell_angle_alpha 90.00
_cell_angle_beta 90.00
_cell_angle_gamma 90.00
loop_
_atom_site_label
_atom_site_type_symbol
_atom_site_fract_x
_atom_site_fract_y
_atom_site_fract_z
_atom_site_occupancy
Li1 Li 0.000 0.000 0.500 1
Hf1 Hf 0.500 0.500 0.500 1
W1 W 0.000 0.000 0.000 1
# Excess energy over the best structure of this formula in the dataset = 0 meV per atom
# Formation energy from the elements = 1614 meV/atom

=====

[11]
# LiCdSbCl6 | Alexandria | PBE | relaxed
data_LiCdSbCl6
_chemical_formula_sum 'Li2 Cd2 Sb2 Cl12'
_space_group_name_H-M_alt 'P -3 1 c'
_space_group_IT_number 163
_space_group_name_Hall '-P 3 2c'
_cell_length_a 6.5912
_cell_length_b 6.5912
_cell_length_c 11.9429
_cell_angle_alpha 90.00
_cell_angle_beta 90.00
_cell_angle_gamma 120.00
loop_
_atom_site_label
_atom_site_type_symbol
_atom_site_fract_x
_atom_site_fract_y
_atom_site_fract_z
_atom_site_occupancy
Li1 Li 0.3333 0.6667 0.2500 1
Cd1 Cd 0.3333 0.6667 0.7500 1
Sb1 Sb 0.0000 0.0000 0.0000 1
Cl1 Cl 0.0077 0.3421 0.1265 1
# E_form (uncorrected) = -1.101 eV per atom

=====

[12]
# La4CdFe | Alexandria | PBE | relaxed
data_La4CdFe
_chemical_formula_sum 'La16 Cd4 Fe4'
_space_group_name_H-M_alt 'C 1 2/c 1'
_space_group_IT_number 15
_space_group_name_Hall '-C 2yc'
_cell_length_a 9.322
_cell_length_b 12.920
_cell_length_c 6.222
_cell_angle_alpha 90.00
_cell_angle_beta 107.66
_cell_angle_gamma 90.00
loop_
_atom_site_label
_atom_site_type_symbol
_atom_site_fract_x
_atom_site_fract_y
_atom_site_fract_z
_atom_site_occupancy
La1 La 0.109 0.154 0.047 1
La2 La 0.211 0.407 0.382 1
Cd1 Cd 0.000 0.379 0.750 1
Fe1 Fe 0.000 0.003 0.750 1
# Excess energy over the best structure of this formula in the dataset = 0 meV per atom
# Formation energy from the elements = -85 meV/atom

=====

[13]
# Nd3Co2Ge3 | Alexandria | PBE | relaxed
data_Nd3Co2Ge3
_chemical_formula_sum 'Nd12 Co8 Ge12'
_space_group_name_H-M_alt 'C m c m'
_space_group_IT_number 63
_space_group_name_Hall '-C 2c 2'
_cell_length_a 4.193
_cell_length_b 11.047
_cell_length_c 14.454
_cell_angle_alpha 90.00
_cell_angle_beta 90.00
_cell_angle_gamma 90.00
loop_
_atom_site_label
_atom_site_type_symbol
_atom_site_fract_x
_atom_site_fract_y
_atom_site_fract_z
_atom_site_occupancy
Nd1 Nd 0.000 0.077 0.107 1
Nd2 Nd 0.000 0.357 0.250 1
Co1 Co 0.000 0.214 0.600 1
Ge1 Ge 0.000 0.338 0.750 1
Ge2 Ge 0.000 0.355 0.040 1
# Formation energy from the elements = -626 meV/atom

=====

[14]
# CsPbSBr2 | Alexandria | PBE | relaxed
data_CsPbSBr2
_chemical_formula_sum 'Cs1 Pb1 S1 Br2'
_space_group_name_H-M_alt 'P 4/m m m'
_space_group_IT_number 123
_space_group_name_Hall '-P 4 2'
_cell_length_a 6.019
_cell_length_b 6.019
_cell_length_c 5.142
_cell_angle_alpha 90.00
_cell_angle_beta 90.00
_cell_angle_gamma 90.00
loop_
_atom_site_label
_atom_site_type_symbol
_atom_site_fract_x
_atom_site_fract_y
_atom_site_fract_z
_atom_site_occupancy
Cs1 Cs 0.000 0.000 0.000 1
Pb1 Pb 0.500 0.500 0.500 1
S1 S 0.500 0.500 0.000 1
Br1 Br 0.000 0.500 0.500 1
# E_form (uncorrected) = -0.885 eV per atom

=====

[15]
# NdPaNiAu | Alexandria | PBE | relaxed
data_NdPaNiAu
_chemical_formula_sum 'Nd4 Pa4 Ni4 Au4'
_space_group_name_H-M_alt 'F -4 3 m'
_space_group_IT_number 216
_space_group_name_Hall 'F -4 2 3'
_cell_length_a 7.121
_cell_length_b 7.121
_cell_length_c 7.121
_cell_angle_alpha 90.00
_cell_angle_beta 90.00
_cell_angle_gamma 90.00
loop_
_atom_site_label
_atom_site_type_symbol
_atom_site_fract_x
_atom_site_fract_y
_atom_site_fract_z
_atom_site_occupancy
Nd1 Nd 0.000 0.000 0.000 1
Pa1 Pa 0.000 0.000 0.500 1
Ni1 Ni 0.250 0.250 0.750 1
Au1 Au 0.250 0.250 0.250 1
# Formation energy from the elements = -184 meV/atom

=====

[16]
# Ce2DyPdRh5 | Alexandria | PBE | relaxed
data_Ce2DyPdRh5
_chemical_formula_sum 'Ce8 Dy4 Pd4 Rh20'
_space_group_name_H-M_alt 'I 4/m c m'
_space_group_IT_number 140
_space_group_name_Hall '-I 4 2c'
_cell_length_a 8.077
_cell_length_b 8.077
_cell_length_c 10.980
_cell_angle_alpha 90.00
_cell_angle_beta 90.00
_cell_angle_gamma 90.00
loop_
_atom_site_label
_atom_site_type_symbol
_atom_site_fract_x
_atom_site_fract_y
_atom_site_fract_z
_atom_site_occupancy
Ce1 Ce 0.138 0.362 0.000 1
Dy1 Dy 0.000 0.000 0.250 1
Pd1 Pd 0.000 0.500 0.250 1
Rh1 Rh 0.000 0.000 0.000 1
Rh2 Rh 0.201 0.299 0.363 1
# Formation energy from the elements = -399 meV/atom

=====

[17]
# Ba2LaPt2O6 | Alexandria | PBE | relaxed
data_Ba2LaPt2O6
_chemical_formula_sum 'Ba6 La3 Pt6 O18'
_space_group_name_H-M_alt 'R -3 m'
_space_group_IT_number 166
_space_group_name_Hall '-R 3 2"'
_cell_length_a 6.2303
_cell_length_b 6.2303
_cell_length_c 18.7809
_cell_angle_alpha 90.00
_cell_angle_beta 90.00
_cell_angle_gamma 120.00
loop_
_atom_site_label
_atom_site_type_symbol
_atom_site_fract_x
_atom_site_fract_y
_atom_site_fract_z
_atom_site_occupancy
Ba1 Ba 0.0000 0.0000 0.2113 1
La1 La 0.0000 0.0000 0.0000 1
Pt1 Pt 0.0000 0.0000 0.4171 1
O1 O 0.0295 0.5148 0.7600 1
# E_form (uncorrected) = -1.632 eV per atom

=====

[18]
# CdPCl2 | Alexandria | PBE | relaxed
data_CdPCl2
_chemical_formula_sum 'Cd2 P2 Cl4'
_space_group_name_H-M_alt 'C m m m'
_space_group_IT_number 65
_space_group_name_Hall '-C 2 2'
_cell_length_a 3.268
_cell_length_b 6.289
_cell_length_c 9.763
_cell_angle_alpha 90.00
_cell_angle_beta 90.00
_cell_angle_gamma 90.00
loop_
_atom_site_label
_atom_site_type_symbol
_atom_site_fract_x
_atom_site_fract_y
_atom_site_fract_z
_atom_site_occupancy
Cd1 Cd 0.000 0.000 0.000 1
P1 P 0.000 0.000 0.500 1
Cl1 Cl 0.000 0.500 0.318 1
# Excess energy over the best structure of this formula in the dataset = 449 meV per atom
# E_form (uncorrected) = 0.054 eV per atom

=====

[19]
# Al4Ag | Alexandria | PBE | relaxed
data_Al4Ag
_chemical_formula_sum 'Al8 Ag2'
_space_group_name_H-M_alt 'I 4/m m m'
_space_group_IT_number 139
_space_group_name_Hall '-I 4 2'
_cell_length_a 3.991
_cell_length_b 3.991
_cell_length_c 12.049
_cell_angle_alpha 90.00
_cell_angle_beta 90.00
_cell_angle_gamma 90.00
loop_
_atom_site_label
_atom_site_type_symbol
_atom_site_fract_x
_atom_site_fract_y
_atom_site_fract_z
_atom_site_occupancy
Al1 Al 0.000 0.000 0.104 1
Al2 Al 0.000 0.500 0.250 1
Ag1 Ag 0.000 0.000 0.500 1
# Excess energy over the best structure of this formula in the dataset = 212 meV per atom
# Formation energy from the elements = 203 meV/atom

=====

[20]
# Ho4CdIr2Rh | Alexandria | PBE | relaxed
data_Ho4CdIr2Rh
_chemical_formula_sum 'Ho12 Cd3 Ir6 Rh3'
_space_group_name_H-M_alt 'R -3 m'
_space_group_IT_number 166
_space_group_name_Hall '-R 3 2"'
_cell_length_a 4.9202
_cell_length_b 4.9202
_cell_length_c 24.1290
_cell_angle_alpha 90.00
_cell_angle_beta 90.00
_cell_angle_gamma 120.00
loop_
_atom_site_label
_atom_site_type_symbol
_atom_site_fract_x
_atom_site_fract_y
_atom_site_fract_z
_atom_site_occupancy
Ho1 Ho 0.0000 0.0000 0.1196 1
Ho2 Ho 0.0000 0.0000 0.3708 1
Cd1 Cd 0.0000 0.0000 0.5000 1
Ir1 Ir 0.0000 0.0000 0.2488 1
Rh1 Rh 0.0000 0.0000 0.0000 1
# Formation energy from the elements = -742 meV/atom